(1)
# TbPrIr, optimized geometry, DFT PBE
# Size of the total moment, μB/f.u.: 0.0
# Distance to the lowest polymorph of the same formula, kJ per mole of atoms: 8.0
# Energy of formation, eV per atom: -0.499
data_TbPrIr
_chemical_formula_sum 'Tb1 Pr1 Ir1'
_cell_length_a 4.1923
_cell_length_b 4.1923
_cell_length_c 6.3212
_cell_angle_alpha 90.00
_cell_angle_beta 90.00
_cell_angle_gamma 120.00
_space_group_name_H-M_alt 'P 3 m 1'
_space_group_IT_number 156
loop_
_space_group_symop_operation_xyz
'x,y,z'
'-y,x-y,z'
'-x+y,-x,z'
'-y,-x,z'
'-x+y,y,z'
'x,x-y,z'
loop_
_atom_site_label
_atom_site_fract_x
_atom_site_fract_y
_atom_site_fract_z
Tb1 0.0000 0.0000 0.0000
Pr1 0.3333 0.6667 0.5429
Ir1 0.6667 0.3333 0.7838

=====

(2)
# ZnRh4, optimized geometry, DFT PBE
# Size of the total moment, μB/f.u.: 0.0
# Distance to the lowest polymorph of the same formula, kJ per mole of atoms: 27.3
# Energy of formation, eV per atom: 0.156
data_ZnRh4
_chemical_formula_sum 'Zn2 Rh8'
_cell_length_a 4.4810
_cell_length_b 5.1380
_cell_length_c 7.7000
_cell_angle_alpha 90.00
_cell_angle_beta 119.51
_cell_angle_gamma 90.00
_space_group_name_H-M_alt 'P 1 21/c 1'
_space_group_IT_number 14
loop_
_space_group_symop_operation_xyz
'x,y,z'
'-x,-y,-z'
'-x,y+1/2,-z+1/2'
'x,-y+1/2,z+1/2'
loop_
_atom_site_label
_atom_site_fract_x
_atom_site_fract_y
_atom_site_fract_z
Zn1 0.0000 0.0000 0.0000
Rh1 0.1481 0.0050 0.3932
Rh2 0.4764 0.7301 0.2606

=====

(3)
# Ta4NbTc5, optimized geometry, DFT PBE
# Size of the total moment, μB/f.u.: 0.0
# Energy of formation, eV per atom: -0.467
data_Ta4NbTc5
_chemical_formula_sum 'Ta4 Nb1 Tc5'
_cell_length_a 3.1881
_cell_length_b 3.1881
_cell_length_c 15.9472
_cell_angle_alpha 90.00
_cell_angle_beta 90.00
_cell_angle_gamma 90.00
_space_group_name_H-M_alt 'P 4/m m m'
_space_group_IT_number 123
_space_group_name_Hall '-P 4 2'
loop_
_atom_site_label
_atom_site_fract_x
_atom_site_fract_y
_atom_site_fract_z
Ta1 0.0000 0.0000 0.0999
Ta2 0.0000 0.0000 0.2999
Nb1 0.0000 0.0000 0.5000
Tc1 0.5000 0.5000 0.0000
Tc2 0.5000 0.5000 0.1998
Tc3 0.5000 0.5000 0.3995

=====

(4)
# KRe2Tc, optimized geometry, DFT PBE
# Size of the total moment, μB/f.u.: 0.0
# Distance to the lowest polymorph of the same formula, kJ per mole of atoms: 53.9
# Energy of formation, eV per atom: 1.279
data_KRe2Tc
_chemical_formula_sum 'K2 Re4 Tc2'
_cell_length_a 2.6847
_cell_length_b 5.3910
_cell_length_c 10.4897
_cell_angle_alpha 90.00
_cell_angle_beta 90.00
_cell_angle_gamma 90.00
_space_group_name_H-M_alt 'I m m 2'
_space_group_IT_number 44
loop_
_space_group_symop_operation_xyz
'x,y,z'
'-x,-y,z'
'-x,y,z'
'x,-y,z'
'x+1/2,y+1/2,z+1/2'
'-x+1/2,-y+1/2,z+1/2'
'-x+1/2,y+1/2,z+1/2'
'x+1/2,-y+1/2,z+1/2'
loop_
_atom_site_label
_atom_site_fract_x
_atom_site_fract_y
_atom_site_fract_z
K1 0.0000 0.0000 0.0000
Re1 0.0000 0.0000 0.5042
Re2 0.0000 0.5000 0.7912
Tc1 0.0000 0.5000 0.2130

=====

(5)
# Tl2PtBr, optimized geometry, DFT PBE
# ΔE_f (raw), eV per atom: -0.131
# Size of the total moment, μB/f.u.: 0.0
# Distance to the lowest polymorph of the same formula, kJ per mole of atoms: 9.7
data_Tl2PtBr
_chemical_formula_sum 'Tl8 Pt4 Br4'
_cell_length_a 6.5629
_cell_length_b 6.5629
_cell_length_c 14.1500
_cell_angle_alpha 90.00
_cell_angle_beta 90.00
_cell_angle_gamma 90.00
_space_group_name_H-M_alt 'I -4 2 d'
_space_group_IT_number 122
_space_group_name_Hall 'I -4 2bw'
loop_
_atom_site_label
_atom_site_fract_x
_atom_site_fract_y
_atom_site_fract_z
Tl1 0.1798 0.2500 0.1250
Pt1 0.0000 0.0000 0.0000
Br1 0.0000 0.0000 0.5000

=====

(6)
# Na2TlPt, optimized geometry, DFT PBE
# Size of the total moment, μB/f.u.: 0.0
# Energy of formation, eV per atom: -0.110
data_Na2TlPt
_chemical_formula_sum 'Na2 Tl1 Pt1'
_cell_length_a 4.3028
_cell_length_b 4.3028
_cell_length_c 4.6801
_cell_angle_alpha 90.00
_cell_angle_beta 90.00
_cell_angle_gamma 90.00
_space_group_name_H-M_alt 'P 4/m m m'
_space_group_IT_number 123
_space_group_name_Hall '-P 4 2'
loop_
_atom_site_label
_atom_site_fract_x
_atom_site_fract_y
_atom_site_fract_z
Na1 0.0000 0.5000 0.0000
Tl1 0.0000 0.0000 0.5000
Pt1 0.5000 0.5000 0.5000

=====

(7)
# YCo2Cl, optimized geometry, DFT PBE
# ΔE_f (raw), eV per atom: 0.012
# Size of the total moment, μB/f.u.: 3.3
# Distance to the lowest polymorph of the same formula, kJ per mole of atoms: 41.3
data_YCo2Cl
_chemical_formula_sum 'Y2 Co4 Cl2'
_cell_length_a 5.1951
_cell_length_b 10.6336
_cell_length_c 3.3143
_cell_angle_alpha 90.00
_cell_angle_beta 129.31
_cell_angle_gamma 90.00
_space_group_name_H-M_alt 'C 1 2/m 1'
_space_group_IT_number 12
loop_
_space_group_symop_operation_xyz
'x,y,z'
'-x,-y,-z'
'-x,y,-z'
'x,-y,z'
'x+1/2,y+1/2,z'
'-x+1/2,-y+1/2,-z'
'-x+1/2,y+1/2,-z'
'x+1/2,-y+1/2,z'
loop_
_atom_site_label
_atom_site_fract_x
_atom_site_fract_y
_atom_site_fract_z
Y1 0.0000 0.0000 0.0000
Co1 0.2500 0.2500 0.5000
Cl1 0.0000 0.5000 0.0000

=====

(8)
# PmSnI, optimized geometry, DFT PBE
# ΔE_f (raw), eV per atom: -0.963
# Size of the total moment, μB/f.u.: 0.0
# Distance to the lowest polymorph of the same formula, kJ per mole of atoms: 1.0
data_PmSnI
_chemical_formula_sum 'Pm2 Sn2 I2'
_cell_length_a 4.2855
_cell_length_b 4.2855
_cell_length_c 10.5356
_cell_angle_alpha 90.00
_cell_angle_beta 90.00
_cell_angle_gamma 90.00
_space_group_name_H-M_alt 'P 4/n m m'
_space_group_IT_number 129
loop_
_space_group_symop_operation_xyz
'x,y,z'
'-x,-y,-z'
'-y+1/2,x,z'
'y+1/2,-x,-z'
'-x+1/2,-y+1/2,z'
'x+1/2,y+1/2,-z'
'y,-x+1/2,z'
'-y,x+1/2,-z'
'x+1/2,-y,-z'
'-x+1/2,y,z'
'-y,-x,-z'
'y,x,z'
'-x,y+1/2,-z'
'x,-y+1/2,z'
'y+1/2,x+1/2,-z'
'-y+1/2,-x+1/2,z'
loop_
_atom_site_label
_atom_site_fract_x
_atom_site_fract_y
_atom_site_fract_z
Pm1 0.2500 0.2500 0.2323
Sn1 0.2500 0.7500 0.0000
I1 0.2500 0.2500 0.6394

=====

(9)
# Cs2Cd, optimized geometry, DFT PBE
# Size of the total moment, μB/f.u.: 0.0
# Distance to the lowest polymorph of the same formula, kJ per mole of atoms: 0.0
# Energy of formation, eV per atom: -0.050
data_Cs2Cd
_chemical_formula_sum 'Cs8 Cd4'
_cell_length_a 20.4215
_cell_length_b 5.3769
_cell_length_c 7.9994
_cell_angle_alpha 90.00
_cell_angle_beta 101.40
_cell_angle_gamma 90.00
_space_group_name_H-M_alt 'C 1 2/m 1'
_space_group_IT_number 12
loop_
_space_group_symop_operation_xyz
'x,y,z'
'-x,-y,-z'
'-x,y,-z'
'x,-y,z'
'x+1/2,y+1/2,z'
'-x+1/2,-y+1/2,-z'
'-x+1/2,y+1/2,-z'
'x+1/2,-y+1/2,z'
loop_
_atom_site_label
_atom_site_fract_x
_atom_site_fract_y
_atom_site_fract_z
Cs1 0.0847 0.0000 0.2940
Cs2 0.1631 0.5000 0.8356
Cd1 0.2368 0.5000 0.4060

=====

(10)
# TiTcW, optimized geometry, DFT PBE
# Size of the total moment, μB/f.u.: 0.0
# Distance to the lowest polymorph of the same formula, kJ per mole of atoms: 6.8
# Energy of formation, eV per atom: -0.303
data_TiTcW
_chemical_formula_sum 'Ti2 Tc2 W2'
_cell_length_a 4.4226
_cell_length_b 4.4226
_cell_length_c 5.4539
_cell_angle_alpha 90.00
_cell_angle_beta 90.00
_cell_angle_gamma 120.00
_space_group_name_H-M_alt 'P 3 m 1'
_space_group_IT_number 156
loop_
_space_group_symop_operation_xyz
'x,y,z'
'-y,x-y,z'
'-x+y,-x,z'
'-y,-x,z'
'-x+y,y,z'
'x,x-y,z'
loop_
_atom_site_label
_atom_site_fract_x
_atom_site_fract_y
_atom_site_fract_z
Ti1 0.0000 0.0000 0.0000
Ti2 0.3333 0.6667 0.3261
Tc1 0.0000 0.0000 0.4999
Tc2 0.6667 0.3333 0.1590
W1 0.3333 0.6667 0.8251
W2 0.6667 0.3333 0.6602

=====

(11)
# GaFeIrPt, optimized geometry, DFT PBE
# Size of the total moment, μB/f.u.: 3.4
# Energy of formation, eV per atom: -0.242
data_GaFeIrPt
_chemical_formula_sum 'Ga4 Fe4 Ir4 Pt4'
_cell_length_a 6.1208
_cell_length_b 6.1208
_cell_length_c 6.1208
_cell_angle_alpha 90.00
_cell_angle_beta 90.00
_cell_angle_gamma 90.00
_space_group_name_H-M_alt 'F -4 3 m'
_space_group_IT_number 216
_space_group_name_Hall 'F -4 2 3'
loop_
_atom_site_label
_atom_site_fract_x
_atom_site_fract_y
_atom_site_fract_z
Ga1 0.0000 0.0000 0.0000
Fe1 0.0000 0.0000 0.5000
Ir1 0.2500 0.2500 0.7500
Pt1 0.2500 0.2500 0.2500

=====

(12)
# La2ReAgC, optimized geometry, DFT PBE
# Size of the total moment, μB/f.u.: 0.0
# Energy of formation, eV per atom: -0.104
data_La2ReAgC
_chemical_formula_sum 'La2 Re1 Ag1 C1'
_cell_length_a 5.3670
_cell_length_b 5.3670
_cell_length_c 3.9818
_cell_angle_alpha 90.00
_cell_angle_beta 90.00
_cell_angle_gamma 90.00
_space_group_name_H-M_alt 'P 4/m m m'
_space_group_IT_number 123
_space_group_name_Hall '-P 4 2'
loop_
_atom_site_label
_atom_site_fract_x
_atom_site_fract_y
_atom_site_fract_z
La1 0.0000 0.5000 0.0000
Re1 0.0000 0.0000 0.5000
Ag1 0.5000 0.5000 0.5000
C1 0.0000 0.0000 0.0000